1.
A plane-wave DFT calculation with GGA-PBE was carried out for a relaxed structure of NbFeIr3.

Cell and atoms, written as POSCAR:
```
NbFeIr3
1.0
2.7871 -3.8760 0.0000
2.7871 3.8760 0.0000
-2.6315 0.0000 3.9822
Nb Fe Ir
1 1 3
Direct
0.0000 0.0000 0.0000
0.5000 0.5000 0.5000
0.0000 0.5000 0.5000
0.5000 0.0000 0.5000
0.5000 0.5000 0.0000
```

Output
Space group: C2/m
Formation energy from the elements in kJ/mol of atoms: 55.8

=====

2.
A plane-wave DFT calculation with GGA-PBE was carried out for a relaxed structure of Pr3TeH3.

Cell and atoms, written as POSCAR:
```
Pr3TeH3
1.0
6.5513 0.0000 0.0000
0.0000 6.5513 0.0000
0.0000 0.0000 6.5513
Pr Te H
6 2 6
Direct
0.0000 0.2500 0.5000
0.0000 0.7500 0.5000
0.2500 0.5000 0.0000
0.5000 0.0000 0.2500
0.5000 0.0000 0.7500
0.7500 0.5000 0.0000
0.0000 0.0000 0.0000
0.5000 0.5000 0.5000
0.0000 0.5000 0.2500
0.0000 0.5000 0.7500
0.2500 0.0000 0.5000
0.5000 0.2500 0.0000
0.5000 0.7500 0.0000
0.7500 0.0000 0.5000
```

Output
Space group: Pm-3n
DFT total energy in eV/atom: -4.55

=====

Across the entries above, magnetization takes the values 1.93 0.01 μB per cell, respectively.